No. 1
Compound: HoGa3CuAg
Source: the Alexandria database
Functional: PBE
Structure: optimized geometry

abc: 6.4552 5.7680 6.8248
angles: 115.00 90.00 90.00
Element x y z (fractional)
Ga: 0.0000 0.2769 0.0000
Ga: 0.2500 0.1296 0.2591
Ga: 0.5000 0.2769 0.0000
Ga: 0.5000 0.7231 0.0000
Ga: 0.7500 0.8704 0.7409
Ga: 0.0000 0.7231 0.0000
Cu: 0.7500 0.0841 0.1682
Cu: 0.2500 0.9159 0.8318
Ag: 0.2500 0.3419 0.6839
Ag: 0.7500 0.6581 0.3161
Ho: 0.7500 0.3039 0.6078
Ho: 0.2500 0.6961 0.3922

Computed properties:
Volume, Å³/cell: 230.3
Formation enthalpy at 0 K, kJ per mole of atoms: -13.6

No. 2
Compound: LaPrYCd
Source: the Alexandria database
Functional: PBE
Structure: optimized geometry

abc: 5.6398 5.6398 5.6398
angles: 60.00 60.00 60.00
Element x y z (fractional)
La: 0.0000 0.0000 0.0000
Y: 0.7500 0.7500 0.7500
Pr: 0.5000 0.5000 0.5000
Cd: 0.2500 0.2500 0.2500

Computed properties:
Volume, Å³/cell: 126.8
Formation enthalpy at 0 K, kJ per mole of atoms: -4.1
Energy relative to the lowest polymorph listed for this composition, meV per atom: 119

No. 3
Compound: MnCo2Mo
Source: the Alexandria database
Functional: PBE
Structure: optimized geometry

abc: 3.6086 2.5714 5.7430
angles: 63.38 90.00 90.00
Each line ends with the local moment (μB).
Element x y z (fractional)
Co: 0.0000 0.9841 0.0160  -0.02
Co: 0.0000 0.5159 0.4840  -0.02
Mn: 0.5000 0.2500 0.2500  1.49
Mo: 0.5000 0.7500 0.7500  -0.12

Computed properties:
Volume, Å³/cell: 47.6
Formation enthalpy at 0 K, kJ per mole of atoms: 6.2
Energy relative to the lowest polymorph listed for this composition, meV per atom: 72

No. 4
Compound: Ac3AlTl3Se8
Source: the Alexandria database
Functional: PBE
Structure: optimized geometry

abc: 8.8710 8.8709 9.1226
angles: 119.09 90.00 120.00
Element x y z (fractional)
Se: 0.7904 0.5809 0.3010
Se: 0.7798 0.9894 0.6990
Se: 0.2202 0.0106 0.3010
Se: 0.2585 0.5169 0.2754
Se: 0.7415 0.4831 0.7246
Se: 0.7904 0.0106 0.3010
Se: 0.2096 0.4191 0.6990
Se: 0.2096 0.9894 0.6990
Ac: 0.0000 0.5000 0.5000
Ac: 0.5000 0.0000 0.5000
Ac: 0.5000 0.5000 0.5000
Tl: 0.0000 0.0000 0.0000
Tl: 0.0000 0.5000 0.0000
Tl: 0.5000 0.5000 0.0000
Al: 0.0000 0.0000 0.5000

Computed properties:
Volume, Å³/cell: 514.5
E_form (uncorrected), eV per atom: -1.183

No. 5
Compound: Np3TiTl3S8
Source: the Alexandria database
Functional: PBE
Structure: optimized geometry

abc: 7.7947 7.7947 8.8678
angles: 116.07 90.00 120.00
Each line ends with the local moment (μB).
Element x y z (fractional)
S: 0.7823 0.5645 0.3138  -0.08
S: 0.7508 0.9686 0.6862  -0.08
S: 0.2670 0.5341 0.3012  -0.09
S: 0.2177 0.4355 0.6862  -0.08
S: 0.2178 0.9686 0.6862  -0.08
S: 0.7330 0.4659 0.6988  -0.09
S: 0.7822 0.0314 0.3138  -0.08
S: 0.2492 0.0314 0.3138  -0.08
Np: 0.5000 0.5000 0.5000  3.69
Np: 0.0000 0.5000 0.5000  3.69
Np: 0.5000 0.0000 0.5000  3.69
Tl: 0.0000 0.5000 0.0000  0.00
Tl: 0.0000 0.0000 0.0000  0.00
Tl: 0.5000 0.5000 0.0000  0.00
Ti: 0.0000 0.0000 0.5000  0.73

Computed properties:
Volume, Å³/cell: 402.1
E_form (uncorrected), eV per atom: -1.080

No. 6
Compound: LaTaTlRe2
Source: the Alexandria database
Functional: PBE
Structure: optimized geometry

abc: 4.8788 5.3478 4.8788
angles: 90.00 90.00 90.00
Each line ends with the local moment (μB).
Element x y z (fractional)
Re: 0.5000 0.0000 0.0000  0.35
Re: 0.0000 0.0000 0.5000  0.33
La: 0.5000 0.5000 0.5000  0.01
Ta: 0.0000 0.0000 0.0000  -0.03
Tl: 0.0000 0.5000 0.0000  -0.01

Computed properties:
Volume, Å³/cell: 127.3
Formation enthalpy at 0 K, kJ per mole of atoms: 114.5
Energy relative to the lowest polymorph listed for this composition, meV per atom: 0

No. 7
Compound: TiTeI2N
Source: the Alexandria database
Functional: PBE
Structure: optimized geometry

abc: 4.8415 4.8415 4.9522
angles: 90.00 90.00 90.00
Element x y z (fractional)
I: 0.5000 0.0000 0.0000
I: 0.0000 0.5000 0.0000
Te: 0.0000 0.0000 0.5000
N: 0.0000 0.0000 0.0000
Ti: 0.5000 0.5000 0.5000

Computed properties:
Volume, Å³/cell: 116.1
E_form (uncorrected), eV per atom: 1.008
Energy relative to the lowest polymorph listed for this composition, meV per atom: 937

No. 8
Compound: PrMgGe2
Source: the Alexandria database
Functional: PBE
Structure: optimized geometry

abc: 3.6292 3.6292 6.6920
angles: 90.00 90.00 90.00
Element x y z (fractional)
Ge: 0.0000 0.0000 0.2014
Ge: 0.0000 0.0000 0.7986
Mg: 0.5000 0.5000 0.0000
Pr: 0.5000 0.5000 0.5000

Computed properties:
Volume, Å³/cell: 88.1
Formation enthalpy at 0 K, kJ per mole of atoms: -36.4
Energy relative to the lowest polymorph listed for this composition, meV per atom: 160

What did the sixth record say?
Compound: LaTaTlRe2
Source: the Alexandria database
Functional: PBE
Structure: optimized geometry

abc: 4.8788 5.3478 4.8788
angles: 90.00 90.00 90.00
Each line ends with the local moment (μB).
Element x y z (fractional)
Re: 0.5000 0.0000 0.0000  0.35
Re: 0.0000 0.0000 0.5000  0.33
La: 0.5000 0.5000 0.5000  0.01
Ta: 0.0000 0.0000 0.0000  -0.03
Tl: 0.0000 0.5000 0.0000  -0.01

Computed properties:
Volume, Å³/cell: 127.3
Formation enthalpy at 0 K, kJ per mole of atoms: 114.5
Energy relative to the lowest polymorph listed for this composition, meV per atom: 0